Below is DySiPd2 at its PBEsol-relaxed geometry, with properties calculated at the SCAN level.

a b c (Å): 7.237 6.889 5.456
angles (deg): 90.00 90.00 90.00
Atoms (fractional coordinates):
Dy (0.028, 0.250, 0.141)
Dy (0.472, 0.750, 0.641)
Dy (0.528, 0.250, 0.359)
Dy (0.972, 0.750, 0.859)
Si (0.121, 0.750, 0.358)
Si (0.379, 0.250, 0.858)
Si (0.621, 0.750, 0.142)
Si (0.879, 0.250, 0.642)
Pd (0.178, 0.052, 0.593)
Pd (0.178, 0.448, 0.593)
Pd (0.322, 0.552, 0.093)
Pd (0.322, 0.948, 0.093)
Pd (0.678, 0.052, 0.907)
Pd (0.678, 0.448, 0.907)
Pd (0.822, 0.552, 0.407)
Pd (0.822, 0.948, 0.407)

Values from the calculation:
DOS(E_F) (states/eV/f.u.): 1.33
M_tot (μB per atom): 0.00
Crystal system: orthorhombic
ΔE_f (raw) (eV/atom): -1.0647

---

Below is Mg2OsCl at its PBEsol-relaxed geometry, with properties calculated at the SCAN level.

a b c (Å): 3.406 4.937 8.047
angles (deg): 90.00 90.00 90.00
Atoms (fractional coordinates):
Mg (0.000, 0.000, 0.240)
Mg (0.000, 0.000, 0.760)
Mg (0.500, 0.500, 0.240)
Mg (0.500, 0.500, 0.760)
Os (0.000, 0.500, 0.000)
Os (0.500, 0.000, 0.000)
Cl (0.000, 0.500, 0.500)
Cl (0.500, 0.000, 0.500)

Values from the calculation:
Offset from the most stable computed form (meV/atom): 0.0
DOS(E_F) (states/eV/f.u.): 1.82
M_tot (μB per atom): 0.00
Crystal system: orthorhombic
ΔE_f (raw) (eV/atom): -0.2351

---

Below is ErSb at its PBEsol-relaxed geometry, with properties calculated at the SCAN level.

a b c (Å): 6.056 6.056 6.056
angles (deg): 90.00 90.00 90.00
Atoms (fractional coordinates):
Er (0.000, 0.000, 0.000)
Er (0.000, 0.500, 0.500)
Er (0.500, 0.000, 0.500)
Er (0.500, 0.500, 0.000)
Sb (0.000, 0.000, 0.500)
Sb (0.000, 0.500, 0.000)
Sb (0.500, 0.000, 0.000)
Sb (0.500, 0.500, 0.500)

Values from the calculation:
DOS(E_F) (states/eV/f.u.): 0.28
M_tot (μB per atom): 0.00
Crystal system: cubic
ΔE_f (raw) (eV/atom): -1.1825

---

Below is BaCdMo at its PBEsol-relaxed geometry, with properties calculated at the SCAN level.

a b c (Å): 3.664 3.664 11.848
angles (deg): 90.00 90.00 90.00
Atoms (fractional coordinates):
Ba (0.000, 0.000, 0.000)
Ba (0.500, 0.500, 0.500)
Cd (0.000, 0.000, 0.288)
Cd (0.500, 0.500, 0.788)
Mo (0.000, 0.000, 0.699)
Mo (0.500, 0.500, 0.199)

Values from the calculation:
DOS(E_F) (states/eV/f.u.): 2.02
M_tot (μB per atom): 0.84
Formation energy (kJ/mol of formula units): 224.0
Crystal system: tetragonal

---

Below is KAs3 at its PBEsol-relaxed geometry, with properties calculated at the SCAN level.

a b c (Å): 5.543 5.543 5.543
angles (deg): 90.00 90.00 90.00
Atoms (fractional coordinates):
K (0.000, 0.000, 0.000)
As (0.000, 0.000, 0.500)
As (0.000, 0.500, 0.000)
As (0.500, 0.000, 0.000)

Values from the calculation:
DOS(E_F) (states/eV/f.u.): 4.80
M_tot (μB per atom): 0.03
Formation energy (kJ/mol of formula units): 798.6
Crystal system: cubic

---

Below is LaPbSe2 at its PBEsol-relaxed geometry, with properties calculated at the SCAN level.

a b c (Å): 3.712 3.829 7.898
angles (deg): 90.00 90.07 90.00
Atoms (fractional coordinates):
La (0.000, 0.000, 0.000)
Pb (0.500, 0.000, 0.500)
Se (0.500, 0.500, 0.204)
Se (0.500, 0.500, 0.796)

Values from the calculation:
DOS(E_F) (states/eV/f.u.): 1.01
M_tot (μB per atom): 0.00
Crystal system: monoclinic
ΔE_f (raw) (eV/atom): -1.3731

---

Below is TaTe2P at its PBEsol-relaxed geometry, with properties calculated at the SCAN level.

a b c (Å): 3.403 3.403 6.883
angles (deg): 90.00 90.00 90.00
Atoms (fractional coordinates):
Ta (0.000, 0.000, 0.000)
Te (0.500, 0.500, 0.238)
Te (0.500, 0.500, 0.762)
P (0.000, 0.000, 0.500)

Values from the calculation:
DOS(E_F) (states/eV/f.u.): 1.92
M_tot (μB per atom): 0.00
Crystal system: tetragonal
ΔE_f (raw) (eV/atom): 0.3379

---

Below is SrCoPt at its PBEsol-relaxed geometry, with properties calculated at the SCAN level.

a b c (Å): 6.513 6.513 6.513
angles (deg): 90.00 90.00 90.00
Atoms (fractional coordinates):
Sr (0.000, 0.000, 0.000)
Sr (0.000, 0.500, 0.500)
Sr (0.500, 0.000, 0.500)
Sr (0.500, 0.500, 0.000)
Co (0.000, 0.000, 0.500)
Co (0.000, 0.500, 0.000)
Co (0.500, 0.000, 0.000)
Co (0.500, 0.500, 0.500)
Pt (0.250, 0.250, 0.750)
Pt (0.250, 0.750, 0.250)
Pt (0.750, 0.250, 0.250)
Pt (0.750, 0.750, 0.750)

Values from the calculation:
DOS(E_F) (states/eV/f.u.): 1.21
M_tot (μB per atom): 0.86
Formation energy (kJ/mol of formula units): 28.4
Crystal system: cubic

---

Copy entry 2 word for word.
Below is Mg2OsCl at its PBEsol-relaxed geometry, with properties calculated at the SCAN level.

a b c (Å): 3.406 4.937 8.047
angles (deg): 90.00 90.00 90.00
Atoms (fractional coordinates):
Mg (0.000, 0.000, 0.240)
Mg (0.000, 0.000, 0.760)
Mg (0.500, 0.500, 0.240)
Mg (0.500, 0.500, 0.760)
Os (0.000, 0.500, 0.000)
Os (0.500, 0.000, 0.000)
Cl (0.000, 0.500, 0.500)
Cl (0.500, 0.000, 0.500)

Values from the calculation:
Offset from the most stable computed form (meV/atom): 0.0
DOS(E_F) (states/eV/f.u.): 1.82
M_tot (μB per atom): 0.00
Crystal system: orthorhombic
ΔE_f (raw) (eV/atom): -0.2351

---

Question: What is the formula in the sixth record?
Answer: LaPbSe2